1.
## Fe3Pb5Au (GGA-PBE)

Data for a relaxed Fe3Pb5Au crystal.

abc: 5.3778 5.3778 8.2248
angles: 90.00 90.00 120.00
Space group P6/mmm (No. 191)
Inequivalent atoms, fractional coordinates:
1 Fe 0.0000 0.5000 0.0000 [3 per cell]
2 Pb 0.0000 0.0000 0.0000 [1 per cell]
3 Pb 0.3333 0.6667 0.2967 [4 per cell]
4 Au 0.0000 0.0000 0.5000 [1 per cell]

Values from the calculation:
VASP energy = -4.87 eV/atom
Mass density = 11.29 g/cm³

***

2.
## FePtPbAu (GGA-PBE)

Data for a relaxed FePtPbAu crystal.

abc: 6.6031 6.6031 6.6031
angles: 90.00 90.00 90.00
Space group F-43m (No. 216)
Inequivalent atoms, fractional coordinates:
1 Fe 0.0000 0.0000 0.0000 [4 per cell]
2 Pt 0.0000 0.0000 0.5000 [4 per cell]
3 Pb 0.2500 0.2500 0.7500 [4 per cell]
4 Au 0.2500 0.2500 0.2500 [4 per cell]

Values from the calculation:
VASP energy = -5.12 eV/atom
Energy above the most stable polymorph in this dataset = 0 meV per atom
Mass density = 15.11 g/cm³

***

3.
## FeRePbAu (GGA-PBE)

Data for a relaxed FeRePbAu crystal.

abc: 6.5083 6.5083 6.5083
angles: 90.00 90.00 90.00
Space group F-43m (No. 216)
Inequivalent atoms, fractional coordinates:
1 Fe 0.0000 0.0000 0.0000 [4 per cell]
2 Re 0.0000 0.0000 0.5000 [4 per cell]
3 Pb 0.2500 0.2500 0.7500 [4 per cell]
4 Au 0.2500 0.2500 0.2500 [4 per cell]

Values from the calculation:
VASP energy = -6.10 eV/atom
Energy above the most stable polymorph in this dataset = 0 meV per atom
Mass density = 15.57 g/cm³

***

4.
## FePbAuS3 (GGA-PBE)

Data for a relaxed FePbAuS3 crystal.

abc: 3.5815 14.5316 9.7050
angles: 90.00 90.00 90.00
Space group Cmcm (No. 63)
Inequivalent atoms, fractional coordinates:
1 Fe 0.0000 0.0000 0.0000 [4 per cell]
2 Pb 0.0000 0.3201 0.2500 [4 per cell]
3 Au 0.0000 0.3517 0.7500 [4 per cell]
4 S 0.0000 0.0365 0.7500 [4 per cell]
5 S 0.0000 0.3984 0.5199 [8 per cell]

Values from the calculation:
VASP energy = -4.79 eV/atom
Mass density = 7.31 g/cm³

***

5.
## FePbAuSe3 (GGA-PBE)

Data for a relaxed FePbAuSe3 crystal.

abc: 3.7434 14.6890 10.4007
angles: 90.00 90.00 90.00
Space group Cmcm (No. 63)
Inequivalent atoms, fractional coordinates:
1 Fe 0.0000 0.0000 0.0000 [4 per cell]
2 Pb 0.0000 0.3143 0.2500 [4 per cell]
3 Au 0.0000 0.3490 0.7500 [4 per cell]
4 Se 0.0000 0.0345 0.7500 [4 per cell]
5 Se 0.0000 0.3894 0.5191 [8 per cell]

Values from the calculation:
VASP energy = -4.44 eV/atom
Mass density = 8.09 g/cm³

***

6.
## FeTcPbAu (GGA-PBE)

Data for a relaxed FeTcPbAu crystal.

abc: 6.4915 6.4915 6.4915
angles: 90.00 90.00 90.00
Space group F-43m (No. 216)
Inequivalent atoms, fractional coordinates:
1 Fe 0.0000 0.0000 0.0000 [4 per cell]
2 Tc 0.0000 0.0000 0.5000 [4 per cell]
3 Pb 0.2500 0.2500 0.7500 [4 per cell]
4 Au 0.2500 0.2500 0.2500 [4 per cell]

Values from the calculation:
VASP energy = -5.84 eV/atom
Energy above the most stable polymorph in this dataset = 0 meV per atom
Mass density = 13.55 g/cm³

***

7.
## FePbWAu (GGA-PBE)

Data for a relaxed FePbWAu crystal.

abc: 6.5245 6.5245 6.5245
angles: 90.00 90.00 90.00
Space group F-43m (No. 216)
Inequivalent atoms, fractional coordinates:
1 Fe 0.0000 0.0000 0.0000 [4 per cell]
2 Pb 0.2500 0.2500 0.7500 [4 per cell]
3 W 0.2500 0.2500 0.2500 [4 per cell]
4 Au 0.0000 0.0000 0.5000 [4 per cell]

Values from the calculation:
VASP energy = -6.12 eV/atom
Energy above the most stable polymorph in this dataset = 107 meV per atom
Mass density = 15.40 g/cm³

***

8.
## FePbWAu (GGA-PBE)

Data for a relaxed FePbWAu crystal.

abc: 6.5553 6.5553 6.5553
angles: 90.00 90.00 90.00
Space group F-43m (No. 216)
Inequivalent atoms, fractional coordinates:
1 Fe 0.0000 0.0000 0.0000 [4 per cell]
2 Pb 0.2500 0.2500 0.7500 [4 per cell]
3 W 0.0000 0.0000 0.5000 [4 per cell]
4 Au 0.2500 0.2500 0.2500 [4 per cell]

Values from the calculation:
VASP energy = -6.22 eV/atom
Energy above the most stable polymorph in this dataset = 0 meV per atom
Mass density = 15.18 g/cm³

***

9.
## YFePbAu (GGA-PBE)

Data for a relaxed YFePbAu crystal.

abc: 6.8966 6.8966 6.8966
angles: 90.00 90.00 90.00
Space group F-43m (No. 216)
Inequivalent atoms, fractional coordinates:
1 Y 0.0000 0.0000 0.0000 [4 per cell]
2 Fe 0.0000 0.0000 0.5000 [4 per cell]
3 Pb 0.2500 0.2500 0.2500 [4 per cell]
4 Au 0.2500 0.2500 0.7500 [4 per cell]

Values from the calculation:
VASP energy = -5.52 eV/atom
Energy above the most stable polymorph in this dataset = 0 meV per atom
Mass density = 11.11 g/cm³

***

10.
## YFePbAu (GGA-PBE)

Data for a relaxed YFePbAu crystal.

abc: 6.9560 6.9560 6.9560
angles: 90.00 90.00 90.00
Space group F-43m (No. 216)
Inequivalent atoms, fractional coordinates:
1 Y 0.0000 0.0000 0.0000 [4 per cell]
2 Fe 0.2500 0.2500 0.7500 [4 per cell]
3 Pb 0.0000 0.0000 0.5000 [4 per cell]
4 Au 0.2500 0.2500 0.2500 [4 per cell]

Values from the calculation:
VASP energy = -5.50 eV/atom
Energy above the most stable polymorph in this dataset = 20 meV per atom
Mass density = 10.83 g/cm³

***

11.
## ZnFePbAu (GGA-PBE)

Data for a relaxed ZnFePbAu crystal.

abc: 6.6545 6.6545 6.6545
angles: 90.00 90.00 90.00
Space group F-43m (No. 216)
Inequivalent atoms, fractional coordinates:
1 Zn 0.0000 0.0000 0.0000 [4 per cell]
2 Fe 0.0000 0.0000 0.5000 [4 per cell]
3 Pb 0.2500 0.2500 0.2500 [4 per cell]
4 Au 0.2500 0.2500 0.7500 [4 per cell]

Values from the calculation:
VASP energy = -3.81 eV/atom
Energy above the most stable polymorph in this dataset = 0 meV per atom
Mass density = 11.84 g/cm³

***

12.
## ZrFePbAu (GGA-PBE)

Data for a relaxed ZrFePbAu crystal.

abc: 6.7717 6.7717 6.7717
angles: 90.00 90.00 90.00
Space group F-43m (No. 216)
Inequivalent atoms, fractional coordinates:
1 Zr 0.0000 0.0000 0.0000 [4 per cell]
2 Fe 0.2500 0.2500 0.7500 [4 per cell]
3 Pb 0.0000 0.0000 0.5000 [4 per cell]
4 Au 0.2500 0.2500 0.2500 [4 per cell]

Values from the calculation:
VASP energy = -5.88 eV/atom
Energy above the most stable polymorph in this dataset = 0 meV per atom
Mass density = 11.79 g/cm³

***

> Number 2 is which compound?

FePtPbAu

***

> Among the records above, which one has the lowest mass density?

FePbAuS3